Model P:
Entry from Alexandria via LeMat-Bulk: a relaxed Pm2PrSn crystal (PBE-GGA).

The space group is P4/mmm (123). The volume is 120.8 Å³/cell. Its total magnetic moment is 0.000 μB/atom.

Lattice parameters (Å, degrees): 4.955 4.955 4.918 90.00 90.00 90.00
Positions (direct):
Pm 0.000 0.500 0.000
Pm 0.500 0.000 0.000
Pr 0.000 0.000 0.500
Sn 0.500 0.500 0.500



Model Q:
Entry from Alexandria via LeMat-Bulk: a relaxed Pm2PrSn crystal (PBE-GGA).

The space group is Fm-3m (225). The volume is 121.5 Å³/cell. Its total magnetic moment is 0.000 μB/atom.

Lattice parameters (Å, degrees): 5.560 5.560 5.560 60.00 60.00 60.00
Positions (direct):
Pm 0.250 0.250 0.250
Pm 0.750 0.750 0.750
Pr 0.000 0.000 0.000
Sn 0.500 0.500 0.500



Top of the stability list: model P, leading by 0.200 eV/atom.



Model P:
Entry from Alexandria via LeMat-Bulk: a relaxed Pm2PrSn crystal (PBE-GGA).

The space group is P4/mmm (123). The volume is 125.4 Å³/cell. Its total magnetic moment is 0.000 μB/atom.

Lattice parameters (Å, degrees): 4.231 4.231 7.004 90.00 90.00 90.00
Positions (direct):
Pm 0.000 0.000 0.221
Pm 0.000 0.000 0.779
Pr 0.500 0.500 0.500
Sn 0.500 0.500 0.000



Model Q:
Entry from Alexandria via LeMat-Bulk: a relaxed Pm2PrSn crystal (PBE-GGA).

The space group is R3m (160). The volume is 130.7 Å³/cell. Its total magnetic moment is 0.000 μB/atom.

Lattice parameters (Å, degrees): 11.400 11.400 11.400 18.53 18.53 18.53
Positions (direct):
Pm 0.000 0.000 0.000
Pm 0.180 0.180 0.180
Pr 0.757 0.757 0.757
Sn 0.590 0.590 0.590



Model R:
Entry from Alexandria via LeMat-Bulk: a relaxed Pm2PrSn crystal (PBE-GGA).

The space group is R-3m (166). The volume is 131.3 Å³/cell. Its total magnetic moment is 0.000 μB/atom.

Lattice parameters (Å, degrees): 12.322 12.322 12.322 16.48 16.48 16.48
Positions (direct):
Pm 0.095 0.095 0.095
Pm 0.905 0.905 0.905
Pr 0.000 0.000 0.000
Sn 0.500 0.500 0.500



Top of the stability list: model P, leading by 0.137 eV/atom.



Model P:
Entry from Alexandria via LeMat-Bulk: a relaxed PmPr2Sn2 crystal (PBE-GGA).

The space group is Cmcm (63). The volume is 323.0 Å³/cell. Its total magnetic moment is 0.000 μB/atom.

Lattice parameters (Å, degrees): 9.835 9.835 6.677 90.00 90.00 149.99
Positions (direct):
Pm 0.103 0.897 0.750
Pm 0.897 0.103 0.250
Pr 0.308 0.692 0.750
Pr 0.500 0.500 0.000
Pr 0.500 0.500 0.500
Pr 0.692 0.308 0.250
Sn 0.076 0.924 0.250
Sn 0.308 0.692 0.250
Sn 0.692 0.308 0.750
Sn 0.924 0.076 0.750



Model Q:
Entry from Alexandria via LeMat-Bulk: a relaxed PmPr2Sn2 crystal (PBE-GGA).

The space group is P4/mbm (127). The volume is 316.0 Å³/cell. Its total magnetic moment is 0.000 μB/atom.

Lattice parameters (Å, degrees): 8.342 8.342 4.541 90.00 90.00 90.00
Positions (direct):
Pm 0.000 0.000 0.000
Pm 0.500 0.500 0.000
Pr 0.171 0.329 0.500
Pr 0.329 0.829 0.500
Pr 0.671 0.171 0.500
Pr 0.829 0.671 0.500
Sn 0.129 0.629 0.000
Sn 0.371 0.129 0.000
Sn 0.629 0.871 0.000
Sn 0.871 0.371 0.000



Top of the stability list: model Q, leading by 0.069 eV/atom.



Model P:
Entry from Alexandria via LeMat-Bulk: a relaxed Pm3Pr2Sn4 crystal (PBE-GGA).

The space group is Cmce (64). The volume is 573.2 Å³/cell. Its total magnetic moment is 0.000 μB/atom.

Lattice parameters (Å, degrees): 9.458 9.458 9.139 90.00 90.00 135.49
Positions (direct):
Pm 0.000 0.000 0.000
Pm 0.044 0.456 0.250
Pm 0.456 0.044 0.750
Pm 0.500 0.500 0.500
Pm 0.544 0.956 0.250
Pm 0.956 0.544 0.750
Pr 0.110 0.890 0.410
Pr 0.390 0.610 0.910
Pr 0.610 0.390 0.090
Pr 0.890 0.110 0.590
Sn 0.185 0.815 0.057
Sn 0.221 0.279 0.250
Sn 0.279 0.221 0.750
Sn 0.315 0.685 0.557
Sn 0.685 0.315 0.443
Sn 0.721 0.779 0.250
Sn 0.779 0.721 0.750
Sn 0.815 0.185 0.943



Model Q:
Entry from Alexandria via LeMat-Bulk: a relaxed Pm3Pr2Sn4 crystal (PBE-GGA).

The space group is P2_1/c (14). The volume is 557.9 Å³/cell. Its total magnetic moment is 0.000 μB/atom.

Lattice parameters (Å, degrees): 8.507 8.532 8.184 90.00 110.08 90.00
Positions (direct):
Pm 0.000 0.000 0.000
Pm 0.000 0.500 0.500
Pm 0.254 0.171 0.758
Pm 0.254 0.329 0.258
Pm 0.746 0.671 0.742
Pm 0.746 0.829 0.242
Pr 0.306 0.680 0.934
Pr 0.306 0.820 0.434
Pr 0.694 0.180 0.566
Pr 0.694 0.320 0.066
Sn 0.014 0.633 0.134
Sn 0.014 0.867 0.634
Sn 0.419 0.037 0.158
Sn 0.419 0.463 0.658
Sn 0.581 0.537 0.342
Sn 0.581 0.963 0.842
Sn 0.986 0.133 0.366
Sn 0.986 0.367 0.866



Top of the stability list: model Q, leading by 0.172 eV/atom.



Model P:
Entry from Alexandria via LeMat-Bulk: a relaxed PmPr2Sn crystal (PBE-GGA).

The space group is Fm-3m (225). The volume is 124.4 Å³/cell. Its total magnetic moment is 0.000 μB/atom.

Lattice parameters (Å, degrees): 5.604 5.604 5.604 60.00 60.00 60.00
Positions (direct):
Pm 0.000 0.000 0.000
Pr 0.250 0.250 0.250
Pr 0.750 0.750 0.750
Sn 0.500 0.500 0.500



Model Q:
Entry from Alexandria via LeMat-Bulk: a relaxed PmPr2Sn crystal (PBE-GGA).

The space group is P4/mmm (123). The volume is 128.0 Å³/cell. Its total magnetic moment is 0.000 μB/atom.

Lattice parameters (Å, degrees): 4.309 4.309 6.894 90.00 90.00 90.00
Positions (direct):
Pm 0.000 0.000 0.000
Pr 0.500 0.500 0.272
Pr 0.500 0.500 0.728
Sn 0.000 0.000 0.500



Model R:
Entry from Alexandria via LeMat-Bulk: a relaxed PmPr2Sn crystal (PBE-GGA).

The space group is P4/mmm (123). The volume is 122.5 Å³/cell. Its total magnetic moment is 0.000 μB/atom.

Lattice parameters (Å, degrees): 4.952 4.952 4.996 90.00 90.00 90.00
Positions (direct):
Pm 0.000 0.000 0.000
Pr 0.000 0.500 0.500
Pr 0.500 0.000 0.500
Sn 0.500 0.500 0.000



Top of the stability list: model R, leading by 0.096 eV/atom.



Model P:
Entry from Alexandria via LeMat-Bulk: a relaxed PmPr5Sn3 crystal (PBE-GGA).

The space group is P6_3/mcm (193). The volume is 557.1 Å³/cell. Its total magnetic moment is 0.306 μB/atom.

Lattice parameters (Å, degrees): 9.713 9.713 6.818 90.00 90.00 120.00
Positions (direct):
Pm 0.000 0.000 0.000
Pm 0.000 0.000 0.500
Pr 0.000 0.333 0.250
Pr 0.000 0.667 0.750
Pr 0.333 0.000 0.250
Pr 0.333 0.333 0.750
Pr 0.333 0.667 0.000
Pr 0.333 0.667 0.500
Pr 0.667 0.000 0.750
Pr 0.667 0.333 0.000
Pr 0.667 0.333 0.500
Pr 0.667 0.667 0.250
Sn 0.000 0.332 0.750
Sn 0.000 0.668 0.250
Sn 0.332 0.000 0.750
Sn 0.332 0.332 0.250
Sn 0.668 0.000 0.250
Sn 0.668 0.668 0.750



Model Q:
Entry from Alexandria via LeMat-Bulk: a relaxed PmPr5Sn3 crystal (PBE-GGA).

The space group is I4/mcm (140). The volume is 571.8 Å³/cell. Its total magnetic moment is 0.151 μB/atom.

Lattice parameters (Å, degrees): 10.127 10.127 10.127 131.42 131.42 71.14
Positions (direct):
Pm 0.250 0.750 0.500
Pm 0.750 0.250 0.500
Pr 0.000 0.000 0.000
Pr 0.066 0.566 0.901
Pr 0.165 0.066 0.500
Pr 0.335 0.835 0.901
Pr 0.434 0.335 0.500
Pr 0.500 0.500 0.000
Pr 0.566 0.665 0.500
Pr 0.665 0.165 0.099
Pr 0.835 0.934 0.500
Pr 0.934 0.434 0.099
Sn 0.118 0.382 0.500
Sn 0.250 0.250 0.000
Sn 0.382 0.882 0.263
Sn 0.618 0.118 0.737
Sn 0.750 0.750 0.000
Sn 0.882 0.618 0.500



Top of the stability list: model P, leading by 0.249 eV/atom.



Model P:
Entry from Alexandria via LeMat-Bulk: a relaxed Tb2Pm5Pr12 crystal (PBE-GGA).

The space group is C2/m (12). The volume is 685.8 Å³/cell. Its total magnetic moment is 0.000 μB/atom.

Lattice parameters (Å, degrees): 11.927 11.927 8.896 109.39 109.39 35.33
Positions (direct):
Tb 0.242 0.758 0.000
Tb 0.758 0.242 0.000
Pm 0.150 0.150 0.097
Pm 0.251 0.251 0.510
Pm 0.500 0.500 0.500
Pm 0.749 0.749 0.490
Pm 0.850 0.850 0.903
Pr 0.047 0.552 0.207
Pr 0.048 0.048 0.697
Pr 0.138 0.650 0.616
Pr 0.350 0.862 0.384
Pr 0.359 0.359 0.945
Pr 0.448 0.953 0.793
Pr 0.552 0.047 0.207
Pr 0.641 0.641 0.055
Pr 0.650 0.138 0.616
Pr 0.862 0.350 0.384
Pr 0.952 0.952 0.303
Pr 0.953 0.448 0.793



Model Q:
Entry from Alexandria via LeMat-Bulk: a relaxed Tb2Pm5Pr12 crystal (PBE-GGA).

The space group is C2/m (12). The volume is 678.1 Å³/cell. Its total magnetic moment is 0.000 μB/atom.

Lattice parameters (Å, degrees): 10.084 10.084 10.678 109.71 109.71 42.05
Positions (direct):
Tb 0.224 0.776 0.000
Tb 0.776 0.224 0.000
Pm 0.172 0.172 0.209
Pm 0.314 0.314 0.815
Pm 0.500 0.500 0.500
Pm 0.686 0.686 0.185
Pm 0.828 0.828 0.791
Pr 0.001 0.001 0.323
Pr 0.080 0.585 0.473
Pr 0.093 0.586 0.130
Pr 0.414 0.907 0.870
Pr 0.415 0.920 0.527
Pr 0.473 0.473 0.754
Pr 0.527 0.527 0.246
Pr 0.585 0.080 0.473
Pr 0.586 0.093 0.130
Pr 0.907 0.414 0.870
Pr 0.920 0.415 0.527
Pr 0.999 0.999 0.677



Top of the stability list: model P, leading by 0.034 eV/atom.



Model P:
Entry from Alexandria via LeMat-Bulk: a relaxed Tb3Pm2Pr4 crystal (PBE-GGA).

The space group is P3m1 (156). The volume is 314.4 Å³/cell. Its total magnetic moment is 0.001 μB/atom.

Lattice parameters (Å, degrees): 3.651 3.651 27.235 90.00 90.00 120.00
Positions (direct):
Tb 0.000 0.000 0.000
Tb 0.000 0.000 0.340
Tb 0.667 0.333 0.672
Pm 0.667 0.333 0.104
Pm 0.667 0.333 0.892
Pr 0.000 0.000 0.564
Pr 0.000 0.000 0.781
Pr 0.667 0.333 0.235
Pr 0.667 0.333 0.450



Model Q:
Entry from Alexandria via LeMat-Bulk: a relaxed Tb3Pm2Pr4 crystal (PBE-GGA).

The space group is P-1 (2). The volume is 309.3 Å³/cell. Its total magnetic moment is 0.000 μB/atom.

Lattice parameters (Å, degrees): 6.314 6.318 9.652 108.93 90.03 119.98
Positions (direct):
Tb 0.000 0.000 0.000
Tb 0.111 0.554 0.334
Tb 0.889 0.446 0.666
Pm 0.445 0.224 0.334
Pm 0.555 0.776 0.666
Pr 0.220 0.108 0.666
Pr 0.332 0.666 0.000
Pr 0.668 0.334 0.000
Pr 0.780 0.892 0.334



Top of the stability list: model Q, leading by 0.043 eV/atom.



Model P:
Entry from Alexandria via LeMat-Bulk: a relaxed Tb2Pm3Pr6 crystal (PBE-GGA).

The space group is I4/mmm (139). The volume is 400.6 Å³/cell. Its total magnetic moment is 0.000 μB/atom.

Lattice parameters (Å, degrees): 17.555 17.555 17.555 164.21 164.21 22.40
Positions (direct):
Tb 0.045 0.045 0.000
Tb 0.955 0.955 0.000
Pm 0.305 0.305 0.000
Pm 0.500 0.500 0.000
Pm 0.695 0.695 0.000
Pr 0.119 0.619 0.500
Pr 0.206 0.206 0.000
Pr 0.381 0.881 0.500
Pr 0.619 0.119 0.500
Pr 0.794 0.794 0.000
Pr 0.881 0.381 0.500



Model Q:
Entry from Alexandria via LeMat-Bulk: a relaxed Tb2Pm3Pr6 crystal (PBE-GGA).

The space group is R-3m (166). The volume is 384.0 Å³/cell. Its total magnetic moment is 0.000 μB/atom.

Lattice parameters (Å, degrees): 32.996 32.996 32.996 6.38 6.38 6.38
Positions (direct):
Tb 0.045 0.045 0.045
Tb 0.955 0.955 0.955
Pm 0.228 0.228 0.228
Pm 0.500 0.500 0.500
Pm 0.772 0.772 0.772
Pr 0.136 0.136 0.136
Pr 0.318 0.318 0.318
Pr 0.409 0.409 0.409
Pr 0.591 0.591 0.591
Pr 0.682 0.682 0.682
Pr 0.864 0.864 0.864



Top of the stability list: model Q, leading by 0.261 eV/atom.



Model P:
Entry from Alexandria via LeMat-Bulk: a relaxed Tb5Pm2Pr4 crystal (PBE-GGA).

The space group is C2/m (12). The volume is 375.8 Å³/cell. Its total magnetic moment is 0.000 μB/atom.

Lattice parameters (Å, degrees): 10.141 10.141 6.713 90.92 90.92 32.98
Positions (direct):
Tb 0.000 0.000 0.000
Tb 0.291 0.291 0.599
Tb 0.369 0.369 0.107
Tb 0.631 0.631 0.893
Tb 0.709 0.709 0.401
Pm 0.098 0.098 0.553
Pm 0.902 0.902 0.447
Pr 0.195 0.195 0.078
Pr 0.479 0.479 0.716
Pr 0.521 0.521 0.284
Pr 0.805 0.805 0.922



Model Q:
Entry from Alexandria via LeMat-Bulk: a relaxed Tb5Pm2Pr4 crystal (PBE-GGA).

The space group is C2/m (12). The volume is 379.2 Å³/cell. Its total magnetic moment is 0.000 μB/atom.

Lattice parameters (Å, degrees): 6.763 6.763 9.356 103.77 103.77 67.67
Positions (direct):
Tb 0.000 0.000 0.000
Tb 0.212 0.650 0.725
Tb 0.350 0.788 0.275
Tb 0.650 0.212 0.725
Tb 0.788 0.350 0.275
Pm 0.141 0.141 0.627
Pm 0.859 0.859 0.373
Pr 0.312 0.312 0.002
Pr 0.326 0.326 0.378
Pr 0.674 0.674 0.622
Pr 0.688 0.688 0.998



Top of the stability list: model P, leading by 0.010 eV/atom.